# 1
DFT (PBE-GGA) results for CdNiMo2N after structural relaxation.

Values from the calculation:
Magnetization: 0.0 μB per formula unit
Formation energy (no corrections): 0.36 eV/atom

a = 3.994 Å, b = 3.994 Å, c = 4.617 Å
α = 90.00°, β = 90.00°, γ = 90.00°
Space group P4/mmm (No. 123)
Asymmetric unit:
Cd 0.000 0.000 0.000 [1 per cell]
Ni 0.500 0.500 0.000 [1 per cell]
Mo 0.000 0.500 0.500 [2 per cell]
N 0.000 0.000 0.500 [1 per cell]

***

# 2
DFT (PBE-GGA) results for CdMoSeN2 after structural relaxation.

Values from the calculation:
Magnetization: 0.0 μB per formula unit
E above lowest polymorph: 0 meV per atom
Formation energy (no corrections): 0.28 eV/atom

a = 3.931 Å, b = 3.931 Å, c = 5.438 Å
α = 90.00°, β = 90.00°, γ = 90.00°
Space group P4/mmm (No. 123)
Asymmetric unit:
Cd 0.000 0.000 0.000 [1 per cell]
Mo 0.500 0.500 0.500 [1 per cell]
Se 0.500 0.500 0.000 [1 per cell]
N 0.000 0.500 0.500 [2 per cell]

***

# 3
DFT (PBE-GGA) results for CdMoSeN2 after structural relaxation.

Values from the calculation:
Magnetization: 1.6 μB per formula unit
E above lowest polymorph: 1957 meV per atom
Formation energy (no corrections): 2.24 eV/atom

a = 4.060 Å, b = 4.060 Å, c = 5.261 Å
α = 90.00°, β = 90.00°, γ = 90.00°
Space group P4/mmm (No. 123)
Asymmetric unit:
Cd 0.000 0.000 0.000 [1 per cell]
Mo 0.500 0.500 0.500 [1 per cell]
Se 0.000 0.000 0.500 [1 per cell]
N 0.000 0.500 0.000 [2 per cell]

***

# 4
DFT (PBE-GGA) results for CdSnMo2N after structural relaxation.

Values from the calculation:
Magnetization: 3.3 μB per formula unit
Formation energy (no corrections): 2.16 eV/atom

a = 5.174 Å, b = 5.174 Å, c = 3.839 Å
α = 90.00°, β = 90.00°, γ = 90.00°
Space group P4/mmm (No. 123)
Asymmetric unit:
Cd 0.000 0.000 0.000 [1 per cell]
Sn 0.500 0.500 0.500 [1 per cell]
Mo 0.000 0.500 0.000 [2 per cell]
N 0.000 0.000 0.500 [1 per cell]

***

# 5
DFT (PBE-GGA) results for CdTeMoN2 after structural relaxation.

Values from the calculation:
Magnetization: 0.0 μB per formula unit
E above lowest polymorph: 0 meV per atom
Formation energy (no corrections): 0.41 eV/atom

a = 3.992 Å, b = 3.992 Å, c = 5.765 Å
α = 90.00°, β = 90.00°, γ = 90.00°
Space group P4/mmm (No. 123)
Asymmetric unit:
Cd 0.000 0.000 0.000 [1 per cell]
Te 0.500 0.500 0.000 [1 per cell]
Mo 0.500 0.500 0.500 [1 per cell]
N 0.000 0.500 0.500 [2 per cell]

***

# 6
DFT (PBE-GGA) results for CdTeMoN2 after structural relaxation.

Values from the calculation:
Magnetization: 0.0 μB per formula unit
E above lowest polymorph: 1906 meV per atom
Formation energy (no corrections): 2.32 eV/atom

a = 4.103 Å, b = 4.103 Å, c = 5.666 Å
α = 90.00°, β = 90.00°, γ = 90.00°
Space group P4/mmm (No. 123)
Asymmetric unit:
Cd 0.000 0.000 0.000 [1 per cell]
Te 0.000 0.000 0.500 [1 per cell]
Mo 0.500 0.500 0.500 [1 per cell]
N 0.000 0.500 0.000 [2 per cell]